1.
Below is an optimized crystal structure of FeS3, with properties calculated at the GGA-PBE level.

Cell lengths 6.1422, 6.1422, 6.1422 Å; angles 90.00, 90.00, 90.00 degrees
Closest atoms and distances in Å follow each position.
Space group Fm-3m (No. 225)
One atom of each set of equivalent atoms:
Fe: 0.0000 0.0000 0.0000 (multiplicity 4)  8 S 2.66
S: 0.0000 0.0000 0.5000 (multiplicity 4)  8 S 2.66
S: 0.2500 0.2500 0.2500 (multiplicity 8)  4 S 2.66, 4 Fe 2.66

Summary:
Its crystal system is cubic.

---

2.
Below is an optimized crystal structure of FeS3, with properties calculated at the GGA-PBE level.

Cell lengths 7.4226, 7.4226, 3.1292 Å; angles 90.00, 90.00, 120.00 degrees
Closest atoms and distances in Å follow each position.
Space group P6_3/mmc (No. 194)
One atom of each set of equivalent atoms:
Fe: 0.3333 0.6667 0.2500 (multiplicity 2)  6 S 2.20
S: 0.2125 0.4250 0.7500 (multiplicity 6)  2 Fe 2.20

Summary:
Its crystal system is hexagonal.

---

3.
Below is an optimized crystal structure of Fe2S3, with properties calculated at the GGA-PBE level.

Cell lengths 3.0929, 3.0929, 8.9802 Å; angles 90.00, 90.00, 120.00 degrees
Closest atoms and distances in Å follow each position.
Space group P-3m1 (No. 164)
One atom of each set of equivalent atoms:
Fe: 0.3333 0.6667 0.1881 (multiplicity 2)  3 S 2.18
S: 0.0000 0.0000 0.0000 (multiplicity 1)  6 Fe 2.46
S: 0.3333 0.6667 0.6730 (multiplicity 2)  3 Fe 2.18

Summary:
Its crystal system is trigonal.

---

4.
Below is an optimized crystal structure of Fe2S3, with properties calculated at the GGA-PBE level.

Cell lengths 6.6056, 9.5562, 19.6269 Å; angles 90.00, 90.00, 90.00 degrees
Closest atoms and distances in Å follow each position.
Space group Fddd (No. 70, origin choice 2)
One atom of each set of equivalent atoms:
Fe: 0.1250 0.1250 0.0545 (multiplicity 16)  4 S 2.19-2.26
Fe: 0.1250 0.1250 0.3846 (multiplicity 16)  6 S 2.28-2.40
S: 0.1006 0.3606 0.2050 (multiplicity 32)  4 Fe 2.26-2.46
S: 0.1188 0.3750 0.8750 (multiplicity 16)  4 Fe 2.19-2.40

Summary:
Its crystal system is orthorhombic.

---

5.
Below is an optimized crystal structure of FeS3, with properties calculated at the GGA-PBE level.

Cell lengths 3.3194, 3.3194, 13.9446 Å; angles 90.00, 90.00, 90.00 degrees
Closest atoms and distances in Å follow each position.
Space group I4/mmm (No. 139)
One atom of each set of equivalent atoms:
Fe: 0.0000 0.0000 0.0000 (multiplicity 2)  4 S 2.35
S: 0.0000 0.0000 0.5000 (multiplicity 2)  4 Fe 2.35
S: 0.0000 0.5000 0.2500 (multiplicity 4)  4 S 2.35

Summary:
Its crystal system is tetragonal.

---

6.
Below is an optimized crystal structure of Fe2Sb3S, with properties calculated at the GGA-PBE level.

Cell lengths 5.5102, 3.2645, 6.2623 Å; angles 90.00, 92.92, 90.00 degrees
Closest atoms and distances in Å follow each position.
Space group Pm (No. 6)
One atom of each set of equivalent atoms:
Fe: 0.0000 0.0000 0.0000 (multiplicity 1)  1 S 2.27, 4 Sb 2.53-2.54
Fe: 0.4468 0.5000 0.4597 (multiplicity 1)  2 S 2.29, 2 Sb 2.52-2.53
Sb: 0.2866 0.5000 0.8291 (multiplicity 1)  3 Fe 2.52-2.54, 1 Sb 2.80
Sb: 0.6857 0.5000 0.1255 (multiplicity 1)  3 Fe 2.53, 1 Sb 2.80
Sb: 0.7844 0.0000 0.6209 (multiplicity 1)  3 Fe 2.60-2.64
S: 0.1850 0.0000 0.3327 (multiplicity 1)  3 Fe 2.27-2.29

Summary:
Its crystal system is monoclinic.

---

7.
Below is an optimized crystal structure of FeSeS, with properties calculated at the GGA-PBE level.

Cell lengths 3.2397, 21.3195, 5.4849 Å; angles 90.00, 90.00, 90.00 degrees
Closest atoms and distances in Å follow each position.
Space group Cmm2 (No. 35)
One atom of each set of equivalent atoms:
Fe: 0.0000 0.0000 0.0000 (multiplicity 2)  2 S 2.20, 4 Se 2.42
Fe: 0.0000 0.5000 0.4038 (multiplicity 2)  4 S 2.24, 2 Se 2.44
Se: 0.0000 0.4384 0.7778 (multiplicity 4)  3 Fe 2.42-2.44, 1 Se 2.63
S: 0.0000 0.0679 0.3017 (multiplicity 4)  3 Fe 2.20-2.24

Summary:
Its crystal system is orthorhombic.

---

8.
Below is an optimized crystal structure of Fe2SeS3, with properties calculated at the GGA-PBE level.

Cell lengths 4.5347, 3.4287, 5.5019 Å; angles 90.00, 91.14, 90.00 degrees
Closest atoms and distances in Å follow each position.
Space group Pm (No. 6)
One atom of each set of equivalent atoms:
Fe: 0.0000 0.0000 0.0000 (multiplicity 1)  5 S 2.22-2.27, 1 Se 2.32
Fe: 0.4839 0.5000 0.5129 (multiplicity 1)  4 S 2.23-2.26, 2 Se 2.32
Se: 0.7858 0.0000 0.3802 (multiplicity 1)  3 Fe 2.32, 1 S 2.36
S: 0.2077 0.0000 0.6388 (multiplicity 1)  3 Fe 2.22-2.24, 1 Se 2.36
S: 0.2865 0.5000 0.1328 (multiplicity 1)  3 Fe 2.26, 1 S 2.38
S: 0.7049 0.5000 0.8794 (multiplicity 1)  3 Fe 2.23-2.27, 1 S 2.38

Summary:
Its crystal system is monoclinic.

---

9.
Below is an optimized crystal structure of FeSeS, with properties calculated at the GGA-PBE level.

Cell lengths 3.2322, 21.1595, 5.5009 Å; angles 90.00, 90.00, 90.00 degrees
Closest atoms and distances in Å follow each position.
Space group Amm2 (No. 38)
One atom of each set of equivalent atoms:
Fe: 0.0000 0.0000 0.0000 (multiplicity 2)  2 S 2.20, 4 Se 2.41
Fe: 0.5000 0.0000 0.4060 (multiplicity 2)  4 S 2.25, 2 Se 2.44
Se: 0.5000 0.0622 0.7791 (multiplicity 4)  3 Fe 2.41-2.44, 1 Se 2.63
S: 0.0000 0.0685 0.3000 (multiplicity 4)  3 Fe 2.20-2.25

Summary:
Its crystal system is orthorhombic.

---

10.
Below is an optimized crystal structure of Fe2SeS3, with properties calculated at the GGA-PBE level.

Cell lengths 20.0882, 3.1515, 5.5237 Å; angles 90.00, 90.05, 90.00 degrees
Closest atoms and distances in Å follow each position.
Space group Cm (No. 8)
One atom of each set of equivalent atoms:
Fe: 0.0000 0.0000 0.0000 (multiplicity 2)  4 S 2.24-2.26, 2 Se 2.42
Fe: 0.0003 0.5000 0.4709 (multiplicity 2)  5 S 2.25-2.27, 1 Se 2.43
Se: 0.0760 0.5000 0.8142 (multiplicity 2)  3 Fe 2.42-2.43
S: 0.0700 0.0000 0.3204 (multiplicity 2)  3 Fe 2.26-2.27
S: 0.4316 0.5000 0.3200 (multiplicity 2)  3 Fe 2.24-2.25
S: 0.4381 0.0000 0.8145 (multiplicity 2)  3 Fe 2.25-2.27

Summary:
Its crystal system is monoclinic.

---

11.
Below is an optimized crystal structure of FeSeS, with properties calculated at the GGA-PBE level.

Cell lengths 4.6536, 3.4705, 5.5987 Å; angles 90.00, 92.55, 90.00 degrees
Closest atoms and distances in Å follow each position.
Space group P2/m (No. 10)
One atom of each set of equivalent atoms:
Fe: 0.0000 0.0000 0.0000 (multiplicity 1)  4 S 2.28, 2 Se 2.32
Fe: 0.5000 0.5000 0.5000 (multiplicity 1)  2 S 2.26, 4 Se 2.32
Se: 0.2171 0.0000 0.6343 (multiplicity 2)  3 Fe 2.32, 1 Se 2.46
S: 0.2840 0.5000 0.1304 (multiplicity 2)  3 Fe 2.26-2.28

Summary:
Its crystal system is monoclinic.

---

12.
Below is an optimized crystal structure of FeSeS, with properties calculated at the GGA-PBE level.

Cell lengths 5.5870, 5.5870, 5.5870 Å; angles 90.00, 90.00, 90.00 degrees
Closest atoms and distances in Å follow each position.
Space group P2_13 (No. 198)
One atom of each set of equivalent atoms:
Fe: 0.0098 0.4902 0.5098 (multiplicity 4)  3 S 2.28, 3 Se 2.37
Se: 0.1234 0.8766 0.3766 (multiplicity 4)  1 S 2.36, 3 Fe 2.37
S: 0.1203 0.6203 0.8797 (multiplicity 4)  3 Fe 2.28, 1 Se 2.36

Summary:
Its crystal system is cubic.

---

Number 1: calculated total energy -4.43 eV/atom. Number 2: calculated total energy -5.04 eV/atom. Number 3: calculated total energy -6.03 eV/atom. Number 4: calculated total energy -6.06 eV/atom. Number 5: calculated total energy -4.84 eV/atom. Number 6: calculated total energy -5.63 eV/atom. Number 7: calculated total energy -5.56 eV/atom. Number 8: calculated total energy -5.86 eV/atom. Number 9: calculated total energy -5.56 eV/atom. Number 10: calculated total energy -5.66 eV/atom. Number 11: calculated total energy -5.69 eV/atom. Number 12: calculated total energy -5.70 eV/atom.